1.
Density functional theory data (PBE) for crystalline LiPaTe4 at its relaxed geometry.

Lattice parameters (Å, degrees): 8.158 8.158 7.480 115.58 115.58 101.12
Positions (direct):
Li  0.050  0.950  0.750
Li  0.950  0.050  0.250
Pa  0.370  0.630  0.750
Pa  0.630  0.370  0.250
Te  0.021  0.619  0.325
Te  0.219  0.321  0.216
Te  0.321  0.219  0.716
Te  0.381  0.979  0.175
Te  0.619  0.021  0.825
Te  0.679  0.781  0.284
Te  0.781  0.679  0.784
Te  0.979  0.381  0.675

Values from the calculation:
- Space group: C2/c (15)
- Distance to the lowest polymorph of the same formula: 0.000 eV per atom
- Density of states at the Fermi level: 4.27 states/eV per cell
- ΔE_f (raw): -0.682 eV per atom

***

2.
Density functional theory data (PBE) for crystalline VReSeBr2 at its relaxed geometry.

Lattice parameters (Å, degrees): 5.260 5.260 4.685 90.00 90.00 90.00
Positions (direct):
V  0.000  0.000  0.000
Re  0.500  0.500  0.500
Se  0.500  0.500  0.000
Br  0.000  0.500  0.500
Br  0.500  0.000  0.500

Values from the calculation:
- Space group: P4/mmm (123)
- Distance to the lowest polymorph of the same formula: 0.150 eV per atom
- Density of states at the Fermi level: 7.24 states/eV per cell
- ΔE_f (raw): 1.122 eV per atom

***

3.
Density functional theory data (PBE) for crystalline SmPu5Ru6 at its relaxed geometry.

Lattice parameters (Å, degrees): 4.795 6.766 8.331 113.81 106.63 90.19
Positions (direct):
Sm  0.000  0.000  0.000
Pu  0.000  0.500  0.000
Pu  0.333  0.332  0.665
Pu  0.334  0.834  0.668
Pu  0.666  0.166  0.332
Pu  0.667  0.668  0.335
Ru  0.171  0.429  0.343
Ru  0.172  0.915  0.343
Ru  0.499  0.734  0.000
Ru  0.501  0.266  0.000
Ru  0.828  0.085  0.657
Ru  0.829  0.571  0.657

Values from the calculation:
- Space group: P-1 (2)
- Energy of formation from the pure elements: -1.8 eV per formula unit
- Density of states at the Fermi level: 27.18 states/eV per cell

***

4.
Density functional theory data (PBE) for crystalline NbO2F at its relaxed geometry.

Lattice parameters (Å, degrees): 5.559 5.668 13.834 86.97 89.00 61.57
Positions (direct):
Nb  0.030  0.484  0.250
Nb  0.321  0.839  0.583
Nb  0.378  0.793  0.083
Nb  0.622  0.207  0.917
Nb  0.679  0.161  0.417
Nb  0.970  0.516  0.750
O  0.000  0.000  0.500
O  0.142  0.692  0.168
O  0.177  0.656  0.665
O  0.334  0.328  0.332
O  0.336  0.341  0.831
O  0.500  0.000  0.000
O  0.500  0.000  0.500
O  0.500  0.500  0.000
O  0.664  0.659  0.169
O  0.666  0.672  0.668
O  0.823  0.344  0.335
O  0.858  0.308  0.832
F  0.000  0.000  0.000
F  0.163  0.170  0.665
F  0.170  0.171  0.165
F  0.500  0.500  0.500
F  0.830  0.829  0.835
F  0.837  0.830  0.335

Values from the calculation:
- Space group: P-1 (2)
- ΔE_f (raw): -2.675 eV per atom